1.
{"formula": "TbAgTe3Pb", "functional": "PBE-GGA", "state": "relaxed", "m_tot_mub_per_cell": 0.007, "spacegroup": "Pnma (62)", "polymorph_energy_ev_per_atom": 0.0610, "crystal_system": "orthorhombic", "density_g_cm3": 7.89, "e_tot_ev_per_cell": -98.51, "lattice": [[-1.647, 3.617, -2.195], [5.291, -4.002, -10.565], [-10.569, -6.525, -2.822]], "species": ["Ag", "Ag", "Ag", "Ag", "Pb", "Pb", "Pb", "Pb", "Tb", "Tb", "Tb", "Tb", "Te", "Te", "Te", "Te", "Te", "Te", "Te", "Te", "Te", "Te", "Te", "Te"], "fractional_positions": [[0.750, 0.762, 0.206], [0.750, 0.262, 0.294], [0.250, 0.738, 0.706], [0.250, 0.238, 0.794], [0.250, 0.808, 0.020], [0.250, 0.308, 0.480], [0.750, 0.692, 0.520], [0.750, 0.192, 0.980], [0.250, 0.474, 0.189], [0.250, 0.974, 0.311], [0.750, 0.026, 0.689], [0.750, 0.526, 0.811], [0.750, 0.591, 0.063], [0.750, 0.973, 0.135], [0.250, 0.219, 0.172], [0.250, 0.719, 0.328], [0.750, 0.473, 0.365], [0.750, 0.091, 0.437], [0.250, 0.909, 0.563], [0.250, 0.527, 0.635], [0.750, 0.281, 0.672], [0.750, 0.781, 0.828], [0.250, 0.027, 0.865], [0.250, 0.409, 0.937]]}

2.
{"formula": "TbAgTe3Pb", "functional": "PBE-GGA", "state": "relaxed", "m_tot_mub_per_cell": 0.005, "spacegroup": "P2_1/m (11)", "polymorph_energy_ev_per_atom": 0.0057, "crystal_system": "monoclinic", "density_g_cm3": 7.59, "e_tot_ev_per_cell": -49.92, "lattice": [[-4.881, -6.577, 1.693], [3.493, -2.600, -0.030], [3.063, 4.007, 9.464]], "species": ["Ag", "Ag", "Pb", "Pb", "Tb", "Tb", "Te", "Te", "Te", "Te", "Te", "Te"], "fractional_positions": [[0.585, 0.250, 0.091], [0.415, 0.750, 0.909], [0.241, 0.750, 0.203], [0.759, 0.250, 0.797], [0.803, 0.750, 0.330], [0.197, 0.250, 0.670], [0.787, 0.750, 0.038], [0.548, 0.250, 0.343], [0.078, 0.250, 0.366], [0.922, 0.750, 0.634], [0.452, 0.750, 0.657], [0.213, 0.250, 0.962]]}

3.
{"formula": "TbAgTe3Pb", "functional": "PBE-GGA", "state": "relaxed", "m_tot_mub_per_cell": 0.004, "spacegroup": "Pnma (62)", "polymorph_energy_ev_per_atom": 0.0000, "crystal_system": "orthorhombic", "density_g_cm3": 7.60, "e_tot_ev_per_cell": -99.98, "lattice": [[-6.316, 2.600, 13.002], [3.846, -0.547, 1.978], [2.237, 11.412, -1.195]], "species": ["Ag", "Ag", "Ag", "Ag", "Pb", "Pb", "Pb", "Pb", "Tb", "Tb", "Tb", "Tb", "Te", "Te", "Te", "Te", "Te", "Te", "Te", "Te", "Te", "Te", "Te", "Te"], "fractional_positions": [[0.492, 0.250, 0.087], [0.992, 0.250, 0.413], [0.008, 0.750, 0.587], [0.508, 0.750, 0.913], [0.280, 0.750, 0.053], [0.780, 0.750, 0.447], [0.220, 0.250, 0.553], [0.720, 0.250, 0.947], [0.990, 0.750, 0.176], [0.490, 0.750, 0.324], [0.510, 0.250, 0.676], [0.010, 0.250, 0.824], [0.110, 0.250, 0.060], [0.621, 0.750, 0.121], [0.850, 0.250, 0.247], [0.350, 0.250, 0.253], [0.121, 0.750, 0.379], [0.610, 0.250, 0.440], [0.390, 0.750, 0.560], [0.879, 0.250, 0.621], [0.650, 0.750, 0.747], [0.150, 0.750, 0.753], [0.379, 0.250, 0.879], [0.890, 0.750, 0.940]]}

4.
{"formula": "TbAgTe3Pb", "functional": "PBE-GGA", "state": "relaxed", "m_tot_mub_per_cell": 0.001, "spacegroup": "C2/m (12)", "polymorph_energy_ev_per_atom": 0.0259, "crystal_system": "monoclinic", "density_g_cm3": 7.54, "e_tot_ev_per_cell": -49.68, "lattice": [[9.853, -2.173, 0.000], [9.853, 2.173, 0.000], [-1.896, 0.000, 8.811]], "species": ["Ag", "Ag", "Pb", "Pb", "Tb", "Tb", "Te", "Te", "Te", "Te", "Te", "Te"], "fractional_positions": [[0.459, 0.459, 0.287], [0.541, 0.541, 0.713], [0.128, 0.128, 0.072], [0.872, 0.872, 0.928], [0.838, 0.838, 0.412], [0.162, 0.162, 0.588], [0.500, 0.500, 0.000], [0.315, 0.315, 0.162], [0.675, 0.675, 0.352], [0.000, 0.000, 0.500], [0.325, 0.325, 0.648], [0.685, 0.685, 0.838]]}

5.
{"formula": "TbAgTe3Pb", "functional": "PBE-GGA", "state": "relaxed", "m_tot_mub_per_cell": 0.000, "spacegroup": "Cmcm (63)", "polymorph_energy_ev_per_atom": 0.0091, "crystal_system": "orthorhombic", "density_g_cm3": 7.82, "e_tot_ev_per_cell": -49.88, "lattice": [[7.436, -2.169, 0.000], [7.436, 2.169, 0.000], [0.000, 0.000, 11.286]], "species": ["Ag", "Ag", "Pb", "Pb", "Tb", "Tb", "Te", "Te", "Te", "Te", "Te", "Te"], "fractional_positions": [[0.470, 0.470, 0.250], [0.530, 0.530, 0.750], [0.769, 0.769, 0.250], [0.231, 0.231, 0.750], [0.000, 0.000, 0.000], [0.000, 0.000, 0.500], [0.354, 0.354, 0.054], [0.093, 0.093, 0.250], [0.354, 0.354, 0.446], [0.646, 0.646, 0.554], [0.907, 0.907, 0.750], [0.646, 0.646, 0.946]]}

6.
{"formula": "TbTmAg2Pb2", "functional": "PBE-GGA", "state": "relaxed", "m_tot_mub_per_cell": 0.002, "spacegroup": "P3m1 (156)", "crystal_system": "trigonal", "density_g_cm3": 10.70, "e_tot_ev_per_cell": -24.51, "lattice": [[-2.725, 2.138, -3.326], [-1.575, -0.365, 4.523], [3.153, 6.547, 1.626]], "species": ["Ag", "Ag", "Pb", "Pb", "Tb", "Tm"], "fractional_positions": [[0.667, 0.333, 0.174], [0.333, 0.667, 0.678], [0.333, 0.667, 0.271], [0.667, 0.333, 0.774], [0.000, 0.000, 0.494], [0.000, 0.000, 0.995]]}

7.
{"formula": "TbYAg2Pb2", "functional": "PBE-GGA", "state": "relaxed", "m_tot_mub_per_cell": 0.020, "spacegroup": "P3m1 (156)", "crystal_system": "trigonal", "density_g_cm3": 9.74, "e_tot_ev_per_cell": -26.70, "lattice": [[4.815, 0.000, 0.000], [-2.407, 4.170, 0.000], [0.000, 0.000, 7.457]], "species": ["Ag", "Ag", "Pb", "Pb", "Tb", "Y"], "fractional_positions": [[0.667, 0.333, 0.179], [0.333, 0.667, 0.679], [0.333, 0.667, 0.272], [0.667, 0.333, 0.772], [0.000, 0.000, 0.492], [0.000, 0.000, 0.992]]}

8.
{"formula": "Tc2AgPb", "functional": "PBE-GGA", "state": "relaxed", "m_tot_mub_per_cell": 0.044, "spacegroup": "F-43m (216)", "crystal_system": "cubic", "density_g_cm3": 12.14, "e_tot_ev_per_cell": -24.39, "lattice": [[0.000, 3.270, 3.270], [3.270, 0.000, 3.270], [3.270, 3.270, 0.000]], "species": ["Ag", "Pb", "Tc", "Tc"], "fractional_positions": [[0.250, 0.250, 0.250], [0.500, 0.500, 0.500], [0.000, 0.000, 0.000], [0.750, 0.750, 0.750]]}